Entry from OQMD: a relaxed structure of NaPmSO (PBE-GGA).

a = 4.0151 Å, b = 4.0151 Å, c = 9.3073 Å
α = 90.00°, β = 90.00°, γ = 90.00°
Last column: nearest neighbours and their distance in Å.
Space group P4/nmm (No. 129, origin choice 2)
Unique sites:
Na 0.2500 0.7500 0.0000 (multiplicity 2)  4 S 2.72, 4 Na 2.84
Pm 0.2500 0.2500 0.3755 (multiplicity 2)  4 O 2.32
S 0.2500 0.2500 0.8033 (multiplicity 2)  4 Na 2.72
O 0.2500 0.7500 0.5000 (multiplicity 2)  4 Pm 2.32

---

Entry from OQMD: a relaxed structure of CdInCoPd (PBE-GGA).

a = 6.4319 Å, b = 6.4319 Å, c = 6.4319 Å
α = 90.00°, β = 90.00°, γ = 90.00°
Last column: nearest neighbours and their distance in Å.
Space group F-43m (No. 216)
Unique sites:
Cd 0.0000 0.0000 0.0000 (multiplicity 4)  4 Co 2.79, 4 Pd 2.79
In 0.0000 0.0000 0.5000 (multiplicity 4)  4 Co 2.79, 4 Pd 2.79
Co 0.2500 0.2500 0.7500 (multiplicity 4)  4 Cd 2.79, 4 In 2.79
Pd 0.2500 0.2500 0.2500 (multiplicity 4)  4 Cd 2.79, 4 In 2.79

---

Entry from OQMD: a relaxed structure of TaCoGePt (PBE-GGA).

a = 6.2127 Å, b = 6.2127 Å, c = 6.2127 Å
α = 90.00°, β = 90.00°, γ = 90.00°
Last column: nearest neighbours and their distance in Å.
Space group F-43m (No. 216)
Unique sites:
Ta 0.0000 0.0000 0.0000 (multiplicity 4)  4 Ge 2.69, 4 Pt 2.69
Co 0.0000 0.0000 0.5000 (multiplicity 4)  4 Pt 2.69, 4 Ge 2.69
Ge 0.2500 0.2500 0.2500 (multiplicity 4)  4 Ta 2.69, 4 Co 2.69
Pt 0.2500 0.2500 0.7500 (multiplicity 4)  4 Ta 2.69, 4 Co 2.69

---

The following E_tot values (in eV/atom) correspond, in order, to the records above: -6.008; -4.062; -7.567.
The following E above lowest polymorph values (in eV/atom) correspond, in order, to the records above: 0.025; 0.000; 0.000.